Record 1
An optimized crystal structure of ReAs2Br. Source: the Alexandria database, functional PBE-GGA.

Values from the calculation:
Total DFT energy (no corrections): -5.708 eV/atom
E_form (uncorrected): 0.15 eV per atom
D(E_F): 0.7 states/eV/cell

Cell: 4.7197 4.7197 6.8234 Å, 103.82 103.82 40.89°
Last column: nearest neighbours and their distance in Å.
Atoms (fractional coordinates):
Re (0.0000, 0.0000, 0.0000)  5 As 2.46-2.60, 2 Br 2.74
As (0.2908, 0.2908, 0.9870)  3 Re 2.46-2.60, 1 As 2.59
As (0.4439, 0.4439, 0.7108)  2 Re 2.52, 1 As 2.59
Br (0.6391, 0.6391, 0.3153)  2 Re 2.74

=====

Record 2
An optimized crystal structure of TiTc2PtF. Source: the Alexandria database, functional PBE-GGA.

Values from the calculation:
Total DFT energy (no corrections): -6.192 eV/atom
E_form (uncorrected): 1.12 eV per atom
D(E_F): 8.0 states/eV/cell

Cell: 4.8460 4.8460 3.9570 Å, 90.00 90.00 90.00°
Last column: nearest neighbours and their distance in Å.
Atoms (fractional coordinates):
Ti (0.0000, 0.0000, 0.0000)  8 Tc 3.13, 4 F 3.43
Tc (0.0000, 0.5000, 0.5000)  2 Pt 2.42
Tc (0.5000, 0.0000, 0.5000)  2 Pt 2.42
Pt (0.5000, 0.5000, 0.5000)  2 F 1.98
F (0.5000, 0.5000, 0.0000)  2 Pt 1.98

=====

Record 3
An optimized crystal structure of K3Mg2PbCl9. Source: the Alexandria database, functional PBE-GGA.

Values from the calculation:
Total DFT energy (no corrections): -3.515 eV/atom
E_form (uncorrected): -1.73 eV per atom
D(E_F): 0.0 states/eV/cell

Cell: 7.2862 7.2862 9.4503 Å, 90.00 90.00 120.00°
Last column: nearest neighbours and their distance in Å.
Atoms (fractional coordinates):
K (0.0000, 0.0000, 0.0000)  12 Cl 3.60-3.64
K (0.3333, 0.6667, 0.7244)  9 Cl 3.35-3.65
K (0.6667, 0.3333, 0.2756)  9 Cl 3.35-3.65
Mg (0.3333, 0.6667, 0.1568)  6 Cl 2.47-2.57
Mg (0.6667, 0.3333, 0.8432)  6 Cl 2.47-2.57
Pb (0.0000, 0.0000, 0.5000)  6 Cl 2.85
Cl (0.0000, 0.5000, 0.0000)  2 Mg 2.57
Cl (0.1714, 0.3429, 0.3043)  1 Mg 2.47
Cl (0.1714, 0.8286, 0.3043)  1 Mg 2.47
Cl (0.3429, 0.1714, 0.6957)  1 Mg 2.47
Cl (0.5000, 0.0000, 0.0000)  2 Mg 2.57
Cl (0.5000, 0.5000, 0.0000)  2 Mg 2.57
Cl (0.6571, 0.8286, 0.3043)  1 Mg 2.47
Cl (0.8286, 0.1714, 0.6957)  1 Mg 2.47
Cl (0.8286, 0.6571, 0.6957)  1 Mg 2.47

=====

Record 4
An optimized crystal structure of Ti2Pd. Source: the Alexandria database, functional PBE-GGA.

Values from the calculation:
Total DFT energy (no corrections): -7.165 eV/atom
D(E_F): 7.9 states/eV/cell
Formation energy: -16.46 kJ/mol of atoms

Cell: 12.7735 12.7735 12.7735 Å, 167.42 167.42 17.82°
Last column: nearest neighbours and their distance in Å.
Atoms (fractional coordinates):
Ti (0.2973, 0.5473, 0.7500)  6 Ti 2.77-2.80, 4 Pd 2.79
Ti (0.4527, 0.7027, 0.7500)  6 Ti 2.77-2.80, 4 Pd 2.79
Ti (0.5473, 0.2973, 0.2500)  6 Ti 2.77-2.80, 4 Pd 2.79
Ti (0.7027, 0.4527, 0.2500)  6 Ti 2.77-2.80, 4 Pd 2.79
Pd (0.1250, 0.8750, 0.2500)  8 Ti 2.79, 4 Pd 2.80
Pd (0.8750, 0.1250, 0.7500)  8 Ti 2.79, 4 Pd 2.80

=====

Record 5
An optimized crystal structure of ScMoOs2. Source: the Alexandria database, functional PBE-GGA.

Values from the calculation:
Total DFT energy (no corrections): -9.782 eV/atom
D(E_F): 2.7 states/eV/cell
Formation energy: 11.96 kJ/mol of atoms

Cell: 2.8665 4.3127 5.2721 Å, 90.00 90.00 90.00°
Last column: nearest neighbours and their distance in Å.
Atoms (fractional coordinates):
Sc (0.0000, 0.0000, 0.0000)  6 Os 2.62-2.73, 2 Sc 2.87
Mo (0.5000, 0.5000, 0.3089)  5 Os 2.48-2.77
Os (0.0000, 0.0000, 0.4975)  2 Sc 2.62-2.65, 4 Mo 2.77, 2 Os 2.87
Os (0.5000, 0.5000, 0.8377)  1 Mo 2.48, 4 Sc 2.73

=====

Record 6
An optimized crystal structure of Zn2GeO. Source: the Alexandria database, functional PBE-GGA.

Values from the calculation:
Total DFT energy (no corrections): -3.457 eV/atom
E_form (uncorrected): -0.43 eV per atom
D(E_F): 1.8 states/eV/cell

Cell: 5.8697 5.8697 5.8697 Å, 122.87 122.87 85.10°
Last column: nearest neighbours and their distance in Å.
Atoms (fractional coordinates):
Zn (0.0461, 0.6250, 0.9211)  2 O 2.02
Zn (0.3750, 0.2961, 0.4211)  2 O 2.02
Zn (0.7039, 0.1250, 0.0789)  2 O 2.02
Zn (0.8750, 0.9539, 0.5789)  2 O 2.02
Ge (0.2500, 0.7500, 0.5000)  4 Zn 2.56
Ge (0.5000, 0.5000, 0.0000)  4 Zn 2.56
O (0.0000, 0.0000, 0.0000)  4 Zn 2.02
O (0.7500, 0.2500, 0.5000)  4 Zn 2.02

=====

Record 7
An optimized crystal structure of Dy6Co2Te. Source: the Alexandria database, functional PBE-GGA.

Values from the calculation:
Total DFT energy (no corrections): -5.358 eV/atom
E_form (uncorrected): -0.36 eV per atom
D(E_F): 13.9 states/eV/cell

Cell: 8.4087 8.4087 8.4087 Å, 112.29 109.70 106.48°
Last column: nearest neighbours and their distance in Å.
Atoms (fractional coordinates):
Dy (0.0275, 0.2344, 0.7931)  1 Co 2.69
Dy (0.1823, 0.2844, 0.4667)  3 Co 2.91-3.08, 1 Te 3.20
Dy (0.1823, 0.7156, 0.8979)  3 Co 2.91-3.08, 1 Te 3.20
Dy (0.3256, 0.0067, 0.6810)  3 Co 2.73-2.88
Dy (0.3256, 0.6446, 0.3190)  3 Co 2.73-2.88
Dy (0.4413, 0.2344, 0.2069)  1 Co 2.69
Dy (0.5587, 0.7656, 0.7931)  1 Co 2.69
Dy (0.6744, 0.3554, 0.6810)  3 Co 2.73-2.88
Dy (0.6744, 0.9933, 0.3190)  3 Co 2.73-2.88
Dy (0.8177, 0.2844, 0.1021)  3 Co 2.91-3.08, 1 Te 3.20
Dy (0.8177, 0.7156, 0.5333)  3 Co 2.91-3.08, 1 Te 3.20
Dy (0.9725, 0.7656, 0.2069)  1 Co 2.69
Co (0.1128, 0.6128, 0.5000)  1 Co 2.27
Co (0.3412, 0.0000, 0.3412)  6 Dy 2.69-2.88
Co (0.6588, 0.0000, 0.6588)  6 Dy 2.69-2.88
Co (0.8872, 0.3872, 0.5000)  1 Co 2.27
Te (0.0000, 0.0000, 0.0000)  8 Dy 3.10-3.20, 2 Co 3.30
Te (0.5000, 0.5000, 0.0000)  12 Dy 3.34-3.68

=====

Record 8
An optimized crystal structure of Er6GeTe3As2. Source: the Alexandria database, functional PBE-GGA.

Values from the calculation:
Total DFT energy (no corrections): -5.600 eV/atom
E_form (uncorrected): -1.37 eV per atom
D(E_F): 2.5 states/eV/cell

Cell: 7.2451 7.2451 7.4003 Å, 99.36 99.36 120.05°
Last column: nearest neighbours and their distance in Å.
Atoms (fractional coordinates):
Er (0.0724, 0.4030, 0.2181)  1 Ge 2.84, 2 As 2.86-2.87, 3 Te 3.11-3.13
Er (0.2576, 0.2576, 0.7813)  1 Ge 2.84, 2 As 2.87, 3 Te 3.12-3.13
Er (0.4030, 0.0724, 0.2181)  1 Ge 2.84, 2 As 2.86-2.87, 3 Te 3.11-3.13
Er (0.5970, 0.9276, 0.7819)  1 Ge 2.84, 2 As 2.86-2.87, 3 Te 3.11-3.13
Er (0.7424, 0.7424, 0.2187)  1 Ge 2.84, 2 As 2.87, 3 Te 3.12-3.13
Er (0.9276, 0.5970, 0.7819)  1 Ge 2.84, 2 As 2.86-2.87, 3 Te 3.11-3.13
Ge (0.0000, 0.0000, 0.0000)  6 Er 2.84
Te (0.1677, 0.8323, 0.5000)  6 Er 3.11-3.13
Te (0.5000, 0.5000, 0.5000)  6 Er 3.11-3.13
Te (0.8323, 0.1677, 0.5000)  6 Er 3.11-3.13
As (0.3336, 0.6664, 0.0000)  6 Er 2.86-2.87
As (0.6664, 0.3336, 0.0000)  6 Er 2.86-2.87

=====

Record 9
An optimized crystal structure of BaMgScV2. Source: the Alexandria database, functional PBE-GGA.

Values from the calculation:
Total DFT energy (no corrections): -4.235 eV/atom
D(E_F): 5.5 states/eV/cell
Formation energy: 133.39 kJ/mol of atoms

Cell: 5.0238 5.0238 5.8006 Å, 90.00 90.00 90.00°
Last column: nearest neighbours and their distance in Å.
Atoms (fractional coordinates):
Ba (0.0000, 0.0000, 0.0000)  2 Sc 2.90
Mg (0.5000, 0.5000, 0.0000)  4 Ba 3.55, 8 V 3.84
Sc (0.0000, 0.0000, 0.5000)  4 V 2.51
V (0.0000, 0.5000, 0.5000)  2 Sc 2.51
V (0.5000, 0.0000, 0.5000)  2 Sc 2.51

=====

Record 10
An optimized crystal structure of BaPmHgPb. Source: the Alexandria database, functional PBE-GGA.

Values from the calculation:
Total DFT energy (no corrections): -3.095 eV/atom
D(E_F): 4.6 states/eV/cell
Formation energy: -40.97 kJ/mol of atoms

Cell: 5.7465 5.7465 5.7465 Å, 60.00 60.00 60.00°
Last column: nearest neighbours and their distance in Å.
Atoms (fractional coordinates):
Ba (0.0000, 0.0000, 0.0000)  4 Pb 3.52, 4 Hg 3.52
Pm (0.5000, 0.5000, 0.5000)  4 Pb 3.52, 4 Hg 3.52
Hg (0.2500, 0.2500, 0.2500)  4 Ba 3.52, 4 Pm 3.52
Pb (0.7500, 0.7500, 0.7500)  4 Ba 3.52, 4 Pm 3.52

=====

Record 11
An optimized crystal structure of In3Ir. Source: the Alexandria database, functional PBE-GGA.

Values from the calculation:
Total DFT energy (no corrections): -4.320 eV/atom
D(E_F): 1.5 states/eV/cell
Formation energy: -4.87 kJ/mol of atoms

Cell: 7.1569 7.1569 7.1569 Å, 155.63 142.51 45.22°
Last column: nearest neighbours and their distance in Å.
Atoms (fractional coordinates):
In (0.0000, 0.0000, 0.0000)  4 Ir 2.75, 2 In 3.02
In (0.3152, 0.8152, 0.5000)  2 Ir 2.87, 2 In 3.02
In (0.6848, 0.1848, 0.5000)  2 Ir 2.87, 2 In 3.02
Ir (0.5000, 0.5000, 0.0000)  8 In 2.75-2.87, 2 Ir 3.02

=====

Record 12
An optimized crystal structure of Re3PdS. Source: the Alexandria database, functional PBE-GGA.

Values from the calculation:
Total DFT energy (no corrections): -8.399 eV/atom
E_form (uncorrected): 0.93 eV per atom
D(E_F): 3.4 states/eV/cell

Cell: 4.3300 4.3300 4.3300 Å, 90.00 90.00 90.00°
Last column: nearest neighbours and their distance in Å.
Atoms (fractional coordinates):
Re (0.0000, 0.0000, 0.5000)  2 S 2.17
Re (0.0000, 0.5000, 0.0000)  2 S 2.17
Re (0.5000, 0.0000, 0.0000)  2 S 2.17
Pd (0.5000, 0.5000, 0.5000)  12 Re 3.06
S (0.0000, 0.0000, 0.0000)  6 Re 2.17

=====

Record 13
An optimized crystal structure of Y2CuRh. Source: the Alexandria database, functional PBE-GGA.

Values from the calculation:
Total DFT energy (no corrections): -6.438 eV/atom
D(E_F): 3.8 states/eV/cell
Formation energy: -33.15 kJ/mol of atoms

Cell: 4.0080 4.0080 7.1326 Å, 106.74 106.74 60.64°
Last column: nearest neighbours and their distance in Å.
Atoms (fractional coordinates):
Y (0.2445, 0.2445, 0.2335)  3 Rh 2.80, 3 Cu 2.93-2.94
Y (0.7555, 0.7555, 0.7665)  3 Rh 2.80, 3 Cu 2.93-2.94
Cu (0.0000, 0.0000, 0.5000)  6 Y 2.93-2.94
Rh (0.5000, 0.5000, 0.0000)  6 Y 2.80